No. 1
A relaxed Pm4PrTe5 crystal, computed with PBE.

calculated total energy: -5.36 eV per atom

POSCAR file:
```
Pm4PrTe5
1.0
6.625 12.526 7.863
8.388 13.732 1.918
-10.147 -11.454 -5.334
Pm Pr Te
4 1 5
Direct
0.204 0.204 0.000
0.403 0.403 0.000
0.597 0.597 0.000
0.796 0.796 0.000
0.000 0.000 0.000
0.102 0.102 0.000
0.303 0.303 0.000
0.500 0.500 0.000
0.697 0.697 0.000
0.898 0.898 0.000
```

No. 2
A relaxed PmPrTe crystal, computed with PBE.

calculated total energy: -4.91 eV per atom
E above lowest polymorph: 0.0 meV per atom

POSCAR file:
```
PmPrTe
1.0
1.545 -4.381 2.386
-0.488 -0.465 5.178
-3.543 -3.270 2.005
Pm Pr Te
1 1 1
Direct
0.250 0.250 0.250
0.750 0.750 0.750
0.000 0.000 0.000
```